Record 1
Tl2OsRu | meta-GGA SCAN | PBEsol geometry

Cell: 2.944 4.967 5.422 Å, 110.33 105.75 90.00°
Element x y z (fractional)
Os: 0.529 0.449 0.058
Ru: 0.222 0.803 0.443
Tl: 0.979 0.928 0.958
Tl: 0.770 0.320 0.541

As for the energy above the most stable polymorph in this dataset: 0.106 eV/atom. The value obtained for the formation energy is 0.842 eV/atom.


Record 2
K3SmCl6 | meta-GGA SCAN | PBEsol geometry

Cell: 7.867 7.867 7.867 Å, 60.00 60.00 60.00°
Element x y z (fractional)
K: 0.000 0.000 0.000
K: 0.750 0.750 0.750
K: 0.250 0.250 0.250
Sm: 0.500 0.500 0.500
Cl: 0.738 0.738 0.262
Cl: 0.738 0.262 0.738
Cl: 0.738 0.262 0.262
Cl: 0.262 0.738 0.262
Cl: 0.262 0.738 0.738
Cl: 0.262 0.262 0.738

The energy relative to the elements, uncorrected comes out at -22.65 eV per formula unit.


Record 3
AlRh2PbO | meta-GGA SCAN | PBEsol geometry

Cell: 4.064 4.968 4.968 Å, 90.00 90.00 90.00°
Element x y z (fractional)
Pb: 0.000 0.000 0.000
Rh: 0.000 0.000 0.500
Rh: 0.000 0.500 0.000
Al: 0.500 0.500 0.500
O: 0.500 0.000 0.000

The energy relative to the elements, uncorrected comes out at 4.67 eV per formula unit.


Record 4
NaVSiCO7 | meta-GGA SCAN | PBEsol geometry

Cell: 5.457 6.347 9.136 Å, 90.00 92.28 90.00°
Element x y z (fractional)
Na: 0.188 0.506 0.809
Na: 0.812 0.006 0.191
V: 0.777 0.240 0.653
V: 0.223 0.740 0.347
Si: 0.737 0.744 0.557
Si: 0.263 0.244 0.443
C: 0.671 0.251 0.909
C: 0.329 0.751 0.091
O: 0.375 0.739 0.961
O: 0.897 0.244 0.856
O: 0.512 0.267 0.797
O: 0.779 0.960 0.653
O: 0.794 0.544 0.660
O: 0.078 0.256 0.580
O: 0.452 0.751 0.491
O: 0.548 0.251 0.509
O: 0.922 0.756 0.420
O: 0.206 0.044 0.340
O: 0.221 0.460 0.347
O: 0.488 0.767 0.203
O: 0.103 0.744 0.144
O: 0.625 0.239 0.039

The energy relative to the elements, uncorrected comes out at -24.58 eV per formula unit.


Record 5
KHg2Au | meta-GGA SCAN | PBEsol geometry

Cell: 4.227 4.449 6.135 Å, 111.35 90.00 90.00°
Element x y z (fractional)
K: 0.000 0.476 0.577
Au: 0.500 0.038 0.702
Hg: 0.000 0.202 0.027
Hg: 0.500 0.784 0.195

As for the energy above the most stable polymorph in this dataset: 0.058 eV/atom. The value obtained for the formation energy is -0.225 eV/atom.


Record 6
SrAlNi2 | meta-GGA SCAN | PBEsol geometry

Cell: 2.997 4.629 4.629 Å, 89.95 90.00 90.00°
Element x y z (fractional)
Sr: 0.500 0.000 0.000
Al: 0.500 0.500 0.500
Ni: 0.000 0.500 0.000
Ni: 0.000 0.000 0.500

The value obtained for the formation energy is 0.193 eV/atom.


Record 7
KGa3Tc | meta-GGA SCAN | PBEsol geometry

Cell: 4.836 4.836 4.836 Å, 90.00 90.00 90.00°
Element x y z (fractional)
K: 0.500 0.500 0.500
Tc: 0.000 0.000 0.000
Ga: 0.000 0.500 0.000
Ga: 0.000 0.000 0.500
Ga: 0.500 0.000 0.000

The value obtained for the formation energy is -0.252 eV/atom.


Record 8
Tc2MoP | meta-GGA SCAN | PBEsol geometry

Cell: 3.034 4.231 4.231 Å, 90.00 90.00 90.00°
Element x y z (fractional)
Mo: 0.500 0.500 0.500
P: 0.500 0.000 0.000
Tc: 0.000 0.000 0.500
Tc: 0.000 0.500 0.000

The value obtained for the formation energy is -0.038 eV/atom.


Record 9
ZnSi2Rh | meta-GGA SCAN | PBEsol geometry

Cell: 2.912 4.280 4.560 Å, 94.23 108.62 90.00°
Element x y z (fractional)
Rh: 0.746 0.231 0.492
Si: 0.012 0.018 0.025
Si: 0.250 0.744 0.500
Zn: 0.492 0.507 0.983

The energy relative to the elements, uncorrected comes out at -0.65 eV per formula unit.


Record 10
Y3PdBr | meta-GGA SCAN | PBEsol geometry

Cell: 5.396 5.396 5.396 Å, 90.00 90.00 90.00°
Element x y z (fractional)
Y: 0.000 0.500 0.000
Y: 0.000 0.000 0.500
Y: 0.500 0.000 0.000
Br: 0.500 0.500 0.500
Pd: 0.000 0.000 0.000

The energy relative to the elements, uncorrected comes out at -2.11 eV per formula unit.


Record 11
NbSeOF7 | meta-GGA SCAN | PBEsol geometry

Cell: 7.019 7.857 11.196 Å, 90.00 90.00 90.00°
Element x y z (fractional)
Nb: 0.296 0.250 0.145
Nb: 0.796 0.750 0.355
Nb: 0.704 0.750 0.855
Nb: 0.204 0.250 0.645
Se: 0.744 0.250 0.997
Se: 0.244 0.750 0.503
Se: 0.256 0.750 0.003
Se: 0.756 0.250 0.497
O: 0.510 0.250 0.013
O: 0.990 0.250 0.513
O: 0.490 0.750 0.987
O: 0.010 0.750 0.487
F: 0.301 0.910 0.401
F: 0.199 0.590 0.901
F: 0.699 0.410 0.599
F: 0.801 0.090 0.099
F: 0.699 0.090 0.599
F: 0.199 0.910 0.901
F: 0.301 0.590 0.401
F: 0.801 0.410 0.099
F: 0.124 0.250 0.011
F: 0.624 0.750 0.489
F: 0.876 0.750 0.989
F: 0.376 0.250 0.511
F: 0.107 0.250 0.262
F: 0.607 0.750 0.238
F: 0.893 0.750 0.738
F: 0.393 0.250 0.762
F: 0.501 0.250 0.255
F: 0.001 0.750 0.245
F: 0.499 0.750 0.745
F: 0.999 0.250 0.755
F: 0.300 0.495 0.134
F: 0.800 0.505 0.366
F: 0.700 0.995 0.866
F: 0.200 0.005 0.634
F: 0.700 0.505 0.866
F: 0.200 0.495 0.634
F: 0.300 0.005 0.134
F: 0.800 0.995 0.366

The energy relative to the elements, uncorrected comes out at -24.49 eV per formula unit.


Record 12
Ba3TcRh | meta-GGA SCAN | PBEsol geometry

Cell: 5.520 5.520 5.520 Å, 90.00 90.00 90.00°
Element x y z (fractional)
Rh: 0.500 0.500 0.500
Ba: 0.000 0.500 0.000
Ba: 0.000 0.000 0.500
Ba: 0.500 0.000 0.000
Tc: 0.000 0.000 0.000

The value obtained for the formation energy is 0.873 eV/atom.


Record 13
BaNi2Mo | meta-GGA SCAN | PBEsol geometry

Cell: 4.137 4.928 4.928 Å, 69.74 65.18 65.18°
Element x y z (fractional)
Ba: 0.000 0.500 0.500
Mo: 0.500 0.000 0.000
Ni: 0.181 0.819 0.819
Ni: 0.819 0.181 0.181

As for the energy above the most stable polymorph in this dataset: 0.000 eV/atom. The value obtained for the formation energy is 0.956 eV/atom.


Record 14
CaMnTe2 | meta-GGA SCAN | PBEsol geometry

Cell: 4.206 4.206 7.066 Å, 89.99 90.00 120.00°
Element x y z (fractional)
Ca: 0.375 0.750 0.250
Te: 0.042 0.083 0.970
Te: 0.708 0.417 0.530
Mn: 0.375 0.750 0.750

As for the energy above the most stable polymorph in this dataset: 0.000 eV/atom. The energy relative to the elements, uncorrected comes out at -4.56 eV per formula unit.


Record 15
RbNaZrMo2 | meta-GGA SCAN | PBEsol geometry

Cell: 4.589 4.849 4.849 Å, 90.00 90.00 90.00°
Element x y z (fractional)
Na: 0.500 0.000 0.000
Mo: 0.000 0.000 0.500
Mo: 0.000 0.500 0.000
Rb: 0.000 0.000 0.000
Zr: 0.500 0.500 0.500

The value obtained for the formation energy is 2.536 eV/atom.


Record 16
Sr2CaMg | meta-GGA SCAN | PBEsol geometry

Cell: 4.123 4.123 9.672 Å, 90.00 90.00 90.00°
Element x y z (fractional)
Sr: 0.000 0.000 0.949
Sr: 0.500 0.500 0.268
Ca: 0.000 0.000 0.552
Mg: 0.500 0.500 0.731

The value obtained for the formation energy is -0.014 eV/atom.


Record 17
P2Pt | meta-GGA SCAN | PBEsol geometry

Cell: 4.968 4.968 4.968 Å, 95.32 116.97 116.97°
Element x y z (fractional)
P: 0.500 0.337 0.163
P: 0.500 0.663 0.837
P: 0.174 0.837 0.337
P: 0.826 0.163 0.663
Pt: 0.000 0.750 0.750
Pt: 0.000 0.250 0.250

The value obtained for the formation energy is 0.176 eV/atom.


Record 18
KSn3Ru | meta-GGA SCAN | PBEsol geometry

Cell: 5.144 5.144 5.144 Å, 90.00 90.00 90.00°
Element x y z (fractional)
Ru: 0.000 0.000 0.000
K: 0.500 0.500 0.500
Sn: 0.000 0.500 0.000
Sn: 0.000 0.000 0.500
Sn: 0.500 0.000 0.000

The value obtained for the formation energy is 0.057 eV/atom.


Record 19
MnTlIn2Co | meta-GGA SCAN | PBEsol geometry

Cell: 4.923 4.923 4.969 Å, 90.00 90.00 90.00°
Element x y z (fractional)
Tl: 0.000 0.000 0.500
Mn: 0.000 0.000 0.000
Co: 0.500 0.500 0.500
In: 0.000 0.500 0.000
In: 0.500 0.000 0.000

The value obtained for the formation energy is 0.751 eV/atom.


Record 20
Na2NiH14N6 | meta-GGA SCAN | PBEsol geometry

Cell: 8.097 8.097 8.097 Å, 100.13 114.33 114.33°
Element x y z (fractional)
Na: 0.661 0.284 0.377
Na: 0.907 0.623 0.284
Na: 0.093 0.377 0.716
Na: 0.339 0.716 0.623
Ni: 0.000 0.303 0.303
Ni: 0.000 0.697 0.697
H: 0.782 0.907 0.716
H: 0.410 0.348 0.062
H: 0.924 0.518 0.894
H: 0.924 0.030 0.406
H: 0.810 0.876 0.093
H: 0.696 0.998 0.257
H: 0.696 0.439 0.698
H: 0.714 0.062 0.652
H: 0.190 0.284 0.066
H: 0.624 0.106 0.030
H: 0.624 0.594 0.518
H: 0.782 0.066 0.876
H: 0.259 0.698 0.002
H: 0.259 0.257 0.561
H: 0.741 0.302 0.998
H: 0.741 0.743 0.439
H: 0.218 0.934 0.124
H: 0.376 0.406 0.482
H: 0.376 0.894 0.970
H: 0.810 0.716 0.934
H: 0.286 0.938 0.348
H: 0.304 0.002 0.743
H: 0.304 0.561 0.302
H: 0.190 0.124 0.907
H: 0.076 0.482 0.106
H: 0.076 0.970 0.594
H: 0.590 0.652 0.938
H: 0.218 0.093 0.284
N: 0.851 0.477 0.742
N: 0.851 0.108 0.373
N: 0.699 0.972 0.727
N: 0.735 0.258 0.108
N: 0.735 0.627 0.477
N: 0.245 0.273 0.972
N: 0.755 0.727 0.028
N: 0.265 0.742 0.892
N: 0.265 0.373 0.523
N: 0.301 0.028 0.273
N: 0.149 0.523 0.258
N: 0.149 0.892 0.627


Record 21
Cr2TcNi | meta-GGA SCAN | PBEsol geometry

Cell: 3.558 3.616 3.616 Å, 90.00 90.00 90.00°
Element x y z (fractional)
Ni: 0.500 0.500 0.500
Tc: 0.500 0.000 0.000
Cr: 0.000 0.000 0.500
Cr: 0.000 0.500 0.000

The value obtained for the formation energy is 0.067 eV/atom.


Record 22
Re2NiW | meta-GGA SCAN | PBEsol geometry

Cell: 2.713 2.713 8.985 Å, 81.32 81.32 60.00°
Element x y z (fractional)
Ni: 0.000 0.000 0.000
Re: 0.255 0.255 0.236
Re: 0.745 0.745 0.764
W: 0.500 0.500 0.500

As for the energy above the most stable polymorph in this dataset: 0.268 eV/atom. The value obtained for the formation energy is 0.264 eV/atom.


Record 23
Al7Ag | meta-GGA SCAN | PBEsol geometry

Cell: 4.018 4.018 8.051 Å, 90.00 90.00 90.00°
Element x y z (fractional)
Al: 0.500 0.000 0.749
Al: 0.000 0.000 0.500
Al: 0.500 0.000 0.251
Al: 0.500 0.500 0.000
Al: 0.000 0.500 0.749
Al: 0.500 0.500 0.500
Al: 0.000 0.500 0.251
Ag: 0.000 0.000 0.000

As for the energy above the most stable polymorph in this dataset: 0.035 eV/atom. The value obtained for the formation energy is 0.005 eV/atom.


Number 1: calculated volume 17.79 Å³/atom, uncorrected energy -62.014 eV/atom. Number 2: calculated volume 34.43 Å³/atom, uncorrected energy -13.994 eV/atom. Number 3: calculated volume 20.06 Å³/atom, uncorrected energy -30.527 eV/atom. Number 4: calculated volume 14.37 Å³/atom, uncorrected energy -10.001 eV/atom. Number 5: calculated volume 26.87 Å³/atom, uncorrected energy -53.679 eV/atom. Number 6: calculated volume 16.06 Å³/atom, uncorrected energy -15.400 eV/atom. Number 7: calculated volume 22.62 Å³/atom, uncorrected energy -18.737 eV/atom. Number 8: calculated volume 13.58 Å³/atom, uncorrected energy -28.889 eV/atom. Number 9: calculated volume 13.42 Å³/atom, uncorrected energy -16.992 eV/atom. Number 10: calculated volume 31.42 Å³/atom, uncorrected energy -27.574 eV/atom. Number 11: calculated volume 15.43 Å³/atom, uncorrected energy -10.871 eV/atom. Number 12: calculated volume 33.64 Å³/atom, uncorrected energy -36.623 eV/atom. Number 13: calculated volume 20.24 Å³/atom, uncorrected energy -25.739 eV/atom. Number 14: calculated volume 27.06 Å³/atom, uncorrected energy -26.745 eV/atom. Number 15: calculated volume 21.58 Å³/atom, uncorrected energy -22.549 eV/atom. Number 16: calculated volume 41.10 Å³/atom, uncorrected energy -14.811 eV/atom. Number 17: calculated volume 15.04 Å³/atom, uncorrected energy -30.154 eV/atom. Number 18: calculated volume 27.22 Å³/atom, uncorrected energy -30.127 eV/atom. Number 19: calculated volume 24.09 Å³/atom, uncorrected energy -34.187 eV/atom. Number 20: calculated volume 8.71 Å³/atom, uncorrected energy -5.968 eV/atom. Number 21: calculated volume 11.63 Å³/atom, uncorrected energy -21.933 eV/atom. Number 22: calculated volume 14.10 Å³/atom, uncorrected energy -56.750 eV/atom. Number 23: calculated volume 16.25 Å³/atom, uncorrected energy -10.699 eV/atom.